Material: Ba3CeIn2O8
Method: DFT, PBE
State: optimized geometry

Cell: 6.223 6.223 7.871 Å, 90.00 90.00 120.00°
Fractional coordinates of all 14 atoms:
Ba  0.000  0.000  0.000
Ba  0.333  0.667  0.638
Ba  0.667  0.333  0.362
Ce  0.000  0.000  0.500
In  0.333  0.667  0.196
In  0.667  0.333  0.804
O  0.164  0.328  0.327
O  0.164  0.836  0.327
O  0.328  0.164  0.673
O  0.333  0.667  0.943
O  0.667  0.333  0.057
O  0.672  0.836  0.327
O  0.836  0.164  0.673
O  0.836  0.672  0.673

Formation energy (no corrections) in eV/atom: -2.34
Space-group type: P-3m1

---

Material: MnWBr2
Method: DFT, PBE
State: optimized geometry

Cell: 9.807 9.807 9.807 Å, 18.70 18.70 18.70°
Fractional coordinates of all 4 atoms:
Mn  0.000  0.000  0.000
W  0.500  0.500  0.500
Br  0.233  0.233  0.233
Br  0.767  0.767  0.767

Formation energy (no corrections) in eV/atom: 0.76
Relative energy among the computed polymorphs in eV per atom: 0.599
Space-group type: R-3m